Entry 1:
Tb3ZnGe3 after structural relaxation, computed with GGA-PBE.

Summary:
Formation energy from the elements (eV/atom): -0.755
VASP energy (eV/f.u.): -34.3
Total magnetization (μB per formula unit): 0.0

a = 4.271 Å, b = 5.845 Å, c = 13.377 Å
α = 83.10°, β = 80.81°, γ = 68.57°
Fractional coordinates of all 14 atoms:
Tb1 0.603 0.715 0.078
Ge1 0.119 0.838 0.924
Tb2 0.397 0.285 0.922
Ge2 0.862 0.729 0.548
Zn1 0.230 0.930 0.609
Tb3 0.739 0.747 0.775
Tb4 0.479 0.665 0.378
Ge3 0.138 0.271 0.452
Tb5 0.261 0.253 0.225
Zn2 0.770 0.070 0.391
Tb6 0.521 0.335 0.622
Ge4 0.881 0.162 0.076
Ge5 0.980 0.813 0.227
Ge6 0.020 0.187 0.773

Entry 2:
KLa2Tb3Te6 after structural relaxation, computed with GGA-PBE.

Summary:
VASP energy (eV/f.u.): -60.8
Formation energy without anion corrections (kJ per mole of atoms): -137.3
Total magnetization (μB per formula unit): 0.0

a = 4.449 Å, b = 9.179 Å, c = 10.148 Å
α = 104.16°, β = 102.66°, γ = 90.00°
Fractional coordinates of all 12 atoms:
Te1 0.338 0.410 0.676
K1 0.500 0.000 0.000
Te2 0.001 0.734 0.003
Tb1 0.164 0.823 0.328
Te3 0.327 0.925 0.653
La1 0.170 0.341 0.339
La2 0.830 0.659 0.661
Tb2 0.500 0.500 0.000
Te4 0.673 0.075 0.347
Tb3 0.836 0.177 0.672
Te5 0.999 0.266 0.997
Te6 0.662 0.590 0.324

Entry 3:
Ac2NiS4 after structural relaxation, computed with GGA-PBE.

Summary:
VASP energy (eV/f.u.): -41.7
Formation energy without anion corrections (kJ per mole of atoms): -154.8
Total magnetization (μB per formula unit): 0.8

a = 6.913 Å, b = 5.903 Å, c = 8.479 Å
α = 90.00°, β = 107.46°, γ = 90.00°
Last column: magnetic moment on the atom in μB.
Fractional coordinates of all 14 atoms:
S1 0.496 0.504 0.739  0.02
Ac1 0.222 0.250 0.428  0.01
S2 0.078 0.750 0.378  0.04
Ac2 0.751 0.750 0.060  0.00
Ni1 0.740 0.250 0.811  0.57
S3 0.504 0.004 0.261  0.02
S4 0.504 0.496 0.261  0.02
S5 0.094 0.750 0.914  0.05
S6 0.906 0.250 0.086  0.05
S7 0.496 0.996 0.739  0.02
Ac3 0.249 0.250 0.940  0.00
S8 0.922 0.250 0.622  0.04
Ni2 0.260 0.750 0.189  0.57
Ac4 0.778 0.750 0.572  0.01

Entry 4:
LaHo3Er4 after structural relaxation, computed with GGA-PBE.

Summary:
Formation energy from the elements (eV/atom): 0.013
VASP energy (eV/f.u.): -36.8
Total magnetization (μB per formula unit): 0.0

a = 6.251 Å, b = 7.253 Å, c = 11.268 Å
α = 90.00°, β = 90.00°, γ = 90.00°
Fractional coordinates of all 16 atoms:
La1 0.644 0.626 0.500
La2 0.144 0.374 0.000
Er1 0.482 0.877 0.753
Ho1 0.647 0.628 0.000
Ho2 0.982 0.627 0.749
Er2 0.148 0.876 0.000
Ho3 0.482 0.373 0.751
Er3 0.648 0.121 0.000
Er4 0.648 0.124 0.500
Er5 0.148 0.879 0.500
Ho4 0.147 0.372 0.500
Er6 0.482 0.877 0.247
Ho5 0.482 0.373 0.249
Er7 0.982 0.123 0.253
Ho6 0.982 0.627 0.251
Er8 0.982 0.123 0.747